Material: Y2MgPb
Method: DFT, PBE
State: optimized geometry

a = 6.958 Å, b = 8.914 Å, c = 3.554 Å
α = 90.00°, β = 90.00°, γ = 90.00°
Space group Cmmm (No. 65)
Asymmetric unit:
Y 0.250 0.250 0.000
Mg 0.000 0.000 0.500
Pb 0.000 0.500 0.500

Formation enthalpy at 0 K (eV per atom): -0.304
Total magnetization (μB/cell): 0.00
Electronic total energy (eV/cell): -38.90

***

Material: YMg3Pb
Method: DFT, PBE
State: optimized geometry

a = 5.405 Å, b = 5.405 Å, c = 5.405 Å
α = 90.00°, β = 90.00°, γ = 90.00°
Space group Pm-3m (No. 221)
Asymmetric unit:
Y 0.000 0.000 0.000
Mg 0.000 0.500 0.500
Pb 0.500 0.500 0.500

Offset from the most stable computed form (eV/atom): 0.0000
Formation enthalpy at 0 K (eV per atom): 0.411
Total magnetization (μB/cell): 0.00
Electronic total energy (eV/cell): -12.90

***

Material: Y2MgPb2
Method: DFT, PBE
State: optimized geometry

a = 4.607 Å, b = 6.650 Å, c = 9.180 Å
α = 90.00°, β = 90.00°, γ = 90.00°
Space group Immm (No. 71)
Asymmetric unit:
Y 0.000 0.000 0.203
Mg 0.000 0.500 0.000
Pb 0.000 0.271 0.500

Formation enthalpy at 0 K (eV per atom): -0.374
Total magnetization (μB/cell): 0.01
Electronic total energy (eV/cell): -47.62

***

Material: Y2MgPb
Method: DFT, PBE
State: optimized geometry

a = 3.601 Å, b = 4.344 Å, c = 7.038 Å
α = 90.00°, β = 90.00°, γ = 90.00°
Space group Pmmm (No. 47)
Asymmetric unit:
Y 0.000 0.000 0.249
Mg 0.500 0.500 0.000
Pb 0.500 0.500 0.500

Formation enthalpy at 0 K (eV per atom): -0.340
Total magnetization (μB/cell): 0.00
Electronic total energy (eV/cell): -19.59

***

Material: YMg2Pb2
Method: DFT, PBE
State: optimized geometry

a = 5.1103 Å, b = 5.1103 Å, c = 12.9191 Å
α = 90.00°, β = 90.00°, γ = 120.00°
Space group P6_3/mmc (No. 194)
Asymmetric unit:
Y 0.0000 0.0000 0.2500
Mg 0.0000 0.0000 0.0000
Mg 0.3333 0.6667 0.2500
Pb 0.3333 0.6667 0.6205

Offset from the most stable computed form (eV/atom): 0.1658
Formation enthalpy at 0 K (eV per atom): 0.010
Total magnetization (μB/cell): 0.00
Electronic total energy (eV/cell): -34.04

***

Material: YMgPb
Method: DFT, PBE
State: optimized geometry

a = 5.0266 Å, b = 5.0266 Å, c = 3.6059 Å
α = 90.00°, β = 90.00°, γ = 120.00°
Space group P3m1 (No. 156)
Asymmetric unit:
Y 0.0000 0.0000 0.0000
Mg 0.6667 0.3333 0.5007
Pb 0.3333 0.6667 0.4982

Formation enthalpy at 0 K (eV per atom): -0.316
Total magnetization (μB/cell): 0.00
Electronic total energy (eV/cell): -12.72

***

Material: Y2Mg2Pb
Method: DFT, PBE
State: optimized geometry

a = 8.507 Å, b = 8.507 Å, c = 4.032 Å
α = 90.00°, β = 90.00°, γ = 90.00°
Space group P4/mbm (No. 127)
Asymmetric unit:
Y 0.153 0.347 0.000
Mg 0.145 0.645 0.500
Pb 0.000 0.000 0.000

Offset from the most stable computed form (eV/atom): 0.2105
Formation enthalpy at 0 K (eV per atom): 0.025
Total magnetization (μB/cell): 1.20
Electronic total energy (eV/cell): -39.40

***

Material: Y4Mg9Pb11
Method: DFT, PBE
State: optimized geometry

a = 15.868 Å, b = 23.094 Å, c = 3.546 Å
α = 90.00°, β = 90.00°, γ = 90.00°
Space group Cmmm (No. 65)
Asymmetric unit:
Y 0.165 0.086 0.000
Mg 0.000 0.000 0.000
Mg 0.108 0.227 0.000
Mg 0.108 0.409 0.000
Pb 0.000 0.125 0.500
Pb 0.000 0.318 0.500
Pb 0.000 0.500 0.500
Pb 0.214 0.500 0.500
Pb 0.224 0.319 0.500

Formation enthalpy at 0 K (eV per atom): -0.133
Total magnetization (μB/cell): 0.00
Electronic total energy (eV/cell): -168.40